Record 1
Computed, not measured: a geometry-optimized H24AuC18I2Br3N8 structure at the PBE level of DFT.

Lattice parameters (Å, degrees): 8.1875 8.1875 10.0748 99.89 99.89 86.15
Last column: nearest neighbours and their distance in Å.
Fractional coordinates of all 56 atoms:
Au: 0.0000 0.0000 0.0000  4 C 2.06
Br: 0.7257 0.7257 0.1105  1 H 2.42
Br: 0.5000 0.5000 0.5000  6 H 2.48-2.68
Br: 0.2743 0.2743 0.8895  1 H 2.42
C: 0.6422 0.2011 0.1327  3 H 1.09-1.10
C: 0.2011 0.6422 0.1327  3 H 1.09-1.10
C: 0.9502 0.1975 0.1464  2 N 1.35-1.36
C: 0.1975 0.9502 0.1464  2 N 1.35-1.36
C: 0.2471 0.2471 0.2268  2 H 1.10-1.11
C: 0.8393 0.3887 0.2966  1 H 1.09
C: 0.3887 0.8393 0.2966  1 H 1.09
C: 0.4027 0.0070 0.3256  1 H 1.08
C: 0.0070 0.4027 0.3256  1 H 1.08
C: 0.9930 0.5973 0.6744  1 H 1.08
C: 0.5973 0.9930 0.6744  1 H 1.08
C: 0.6113 0.1607 0.7034  1 H 1.09
C: 0.1607 0.6113 0.7034  1 H 1.09
C: 0.7529 0.7529 0.7732  2 H 1.10-1.11
C: 0.8025 0.0498 0.8536  2 N 1.35-1.36
C: 0.0498 0.8025 0.8536  2 N 1.35-1.36
C: 0.7989 0.3578 0.8673  3 H 1.09-1.10
C: 0.3578 0.7989 0.8673  3 H 1.09-1.10
H: 0.5845 0.2571 0.0436  1 C 1.10
H: 0.2571 0.5845 0.0436  1 C 1.10
H: 0.6488 0.0652 0.1062  1 C 1.10
H: 0.0652 0.6488 0.1062  1 C 1.10
H: 0.2750 0.2750 0.1296  1 C 1.11
H: 0.5671 0.2371 0.2136  1 C 1.09
H: 0.2371 0.5671 0.2136  1 C 1.09
H: 0.3215 0.3215 0.3155  1 C 1.10
H: 0.7400 0.4548 0.3452  1 C 1.09
H: 0.4548 0.7400 0.3452  1 C 1.09
H: 0.4864 0.0853 0.4012  1 C 1.08
H: 0.0853 0.4864 0.4012  1 C 1.08
H: 0.9147 0.5136 0.5988  1 C 1.08
H: 0.5136 0.9147 0.5988  1 C 1.08
H: 0.5452 0.2600 0.6548  1 C 1.09
H: 0.2600 0.5452 0.6548  1 C 1.09
H: 0.6785 0.6785 0.6845  1 C 1.10
H: 0.7629 0.4329 0.7864  1 C 1.09
H: 0.4329 0.7629 0.7864  1 C 1.09
H: 0.7250 0.7250 0.8704  1 C 1.11
H: 0.9348 0.3512 0.8938  1 C 1.10
H: 0.3512 0.9348 0.8938  1 C 1.10
H: 0.7429 0.4155 0.9564  1 C 1.10
H: 0.4155 0.7429 0.9564  1 C 1.10
I: 0.9062 0.9062 0.3845  1 I 2.83, 1 Br 3.08
I: 0.0938 0.0938 0.6155  1 I 2.83, 1 Br 3.08
N: 0.8073 0.2612 0.1874  3 C 1.35-1.45
N: 0.2612 0.8073 0.1874  3 C 1.35-1.45
N: 0.2842 0.0724 0.2320  3 C 1.36-1.45
N: 0.0724 0.2842 0.2320  3 C 1.36-1.45
N: 0.9276 0.7158 0.7680  3 C 1.36-1.45
N: 0.7158 0.9276 0.7680  3 C 1.36-1.45
N: 0.7388 0.1927 0.8126  3 C 1.35-1.45
N: 0.1927 0.7388 0.8126  3 C 1.35-1.45

- total energy (eV per atom) = -5.859
- symmetry = C2/m, No. 12

Record 2
Computed, not measured: a geometry-optimized ScCu4Si2Ni structure at the PBE level of DFT.

Lattice parameters (Å, degrees): 4.1831 4.1831 5.8669 90.00 90.00 90.00
Last column: nearest neighbours and their distance in Å.
Fractional coordinates of all 8 atoms:
Cu: 0.5000 0.0000 0.2284  2 Ni 2.48, 4 Si 2.48-2.63, 2 Sc 2.63, 1 Cu 2.68
Cu: 0.0000 0.5000 0.2284  2 Ni 2.48, 4 Si 2.48-2.63, 2 Sc 2.63, 1 Cu 2.68
Cu: 0.5000 0.0000 0.7716  2 Ni 2.48, 4 Si 2.48-2.63, 2 Sc 2.63, 1 Cu 2.68
Cu: 0.0000 0.5000 0.7716  2 Ni 2.48, 4 Si 2.48-2.63, 2 Sc 2.63, 1 Cu 2.68
Ni: 0.5000 0.5000 0.0000  8 Cu 2.48
Sc: 0.0000 0.0000 0.5000  8 Cu 2.63, 2 Si 2.93
Si: 0.0000 0.0000 0.0000  8 Cu 2.48
Si: 0.5000 0.5000 0.5000  8 Cu 2.63, 2 Ni 2.93

- total energy (eV per atom) = -4.858
- symmetry = P4/mmm, No. 123

Record 3
Computed, not measured: a geometry-optimized GdY3Pt4 structure at the PBE level of DFT.

Lattice parameters (Å, degrees): 5.5870 4.5161 7.0784 90.00 90.05 90.00
Last column: nearest neighbours and their distance in Å.
Fractional coordinates of all 8 atoms:
Gd: 0.1401 0.0000 0.6819  7 Pt 2.89-3.05
Pt: 0.8463 0.0000 0.0441  6 Y 2.89-3.03, 2 Pt 2.90, 1 Gd 3.05
Pt: 0.3468 0.5000 0.4553  5 Y 2.89-3.05, 2 Pt 2.90, 2 Gd 3.00
Pt: 0.6534 0.0000 0.5440  2 Gd 2.89-3.03, 2 Pt 2.90, 5 Y 2.98-3.04
Pt: 0.1535 0.5000 0.9568  5 Y 2.89-3.04, 2 Pt 2.90, 2 Gd 2.98
Y: 0.3601 0.0000 0.1821  7 Pt 2.89-3.04
Y: 0.8597 0.5000 0.3175  7 Pt 2.89-3.04
Y: 0.6402 0.5000 0.8185  7 Pt 2.89-3.05

- total energy (eV per atom) = -7.293
- symmetry = Pm, No. 6